Record 1
LuZrCrOs | the Alexandria database | PBE-GGA | optimized geometry; crystal system = cubic; energy of formation = -9.6 kJ/mol of atoms
1.0
-0.745 -0.188 -4.663
1.520 -3.720 -2.488
-3.109 -3.086 -1.774
Cr Lu Os Zr
1 1 1 1
Direct
0.750 0.750 0.750
0.000 0.000 0.000
0.250 0.250 0.250
0.500 0.500 0.500



Record 2
La3BiP2Rh9 | the Alexandria database | PBE-GGA | optimized geometry; crystal system = trigonal; energy of formation = -61.3 kJ/mol of atoms
1.0
-4.686 -3.309 2.043
3.507 -2.138 -4.495
5.739 -4.145 6.449
P Rh Bi La
2 9 1 3
Direct
0.333 0.667 0.154
0.667 0.333 0.846
0.692 0.846 0.272
0.500 0.500 0.000
0.846 0.692 0.728
0.500 0.000 0.000
0.846 0.154 0.728
0.308 0.154 0.728
0.154 0.846 0.272
0.000 0.500 0.000
0.154 0.308 0.272
0.000 0.000 0.500
0.333 0.667 0.702
0.000 0.000 0.000
0.667 0.333 0.298



Record 3
Ca2SmSnTe4 | the Alexandria database | PBE-GGA | optimized geometry; crystal system = monoclinic; E_form (uncorrected) = -1.186 eV/atom
1.0
4.477 0.000 0.000
0.000 7.793 -0.155
0.000 2.743 7.371
Ca Sn Te Sm
2 1 4 1
Direct
0.500 0.000 0.500
0.000 0.000 0.000
0.500 0.500 0.000
0.000 0.749 0.749
0.500 0.251 0.750
0.000 0.251 0.251
0.500 0.749 0.250
0.000 0.500 0.500



Record 4
SmGdInOs | the Alexandria database | PBE-GGA | optimized geometry; crystal system = cubic; energy of formation = -16.3 kJ/mol of atoms
1.0
5.119 0.000 0.000
2.559 4.433 0.000
2.559 1.478 4.180
Gd Os Sm In
1 1 1 1
Direct
0.250 0.250 0.250
0.500 0.500 0.500
0.750 0.750 0.750
0.000 0.000 0.000



Record 5
Pr4SmZn5 | the Alexandria database | PBE-GGA | optimized geometry; crystal system = tetragonal; energy of formation = -29.0 kJ/mol of atoms
1.0
3.699 0.000 0.000
0.000 3.699 0.000
0.000 0.000 18.523
Pr Sm Zn
4 1 5
Direct
0.000 0.000 0.803
0.000 0.000 0.601
0.000 0.000 0.197
0.000 0.000 0.399
0.000 0.000 0.000
0.500 0.500 0.299
0.500 0.500 0.905
0.500 0.500 0.701
0.500 0.500 0.095
0.500 0.500 0.500



Record 6
KRbCd2In | the Alexandria database | PBE-GGA | optimized geometry; crystal system = tetragonal; energy of formation = 5.6 kJ/mol of atoms
1.0
-4.207 3.124 -2.442
-3.409 -4.668 -0.099
-2.298 1.552 5.945
Rb Cd K In
1 2 1 1
Direct
0.500 0.500 0.500
0.500 0.000 0.000
0.000 0.500 0.000
0.000 0.000 0.500
0.000 0.000 0.000



Record 7
LiNbNi2 | the Alexandria database | PBE-GGA | optimized geometry; crystal system = tetragonal; energy of formation = 33.7 kJ/mol of atoms
1.0
6.514 0.000 0.000
0.000 6.514 0.000
3.257 3.257 2.575
Ni Nb Li
4 2 2
Direct
0.141 0.625 0.250
0.609 0.125 0.250
0.875 0.859 0.750
0.375 0.391 0.750
0.750 0.250 0.500
0.000 0.000 0.000
0.500 0.500 0.000
0.250 0.750 0.500



Record 8
ScTeIO2 | the Alexandria database | PBE-GGA | optimized geometry; crystal system = tetragonal; E_form (uncorrected) = -0.341 eV/atom
1.0
4.159 0.000 0.000
0.000 4.159 0.000
0.000 0.000 6.694
O Sc Te I
2 1 1 1
Direct
0.000 0.500 0.000
0.500 0.000 0.000
0.500 0.500 0.500
0.000 0.000 0.000
0.000 0.000 0.500



Record 9
Ba2SrIr | the Alexandria database | PBE-GGA | optimized geometry; crystal system = orthorhombic; energy of formation = -10.9 kJ/mol of atoms
1.0
-1.185 -0.517 4.290
6.883 -3.457 1.485
7.057 2.573 2.260
Ba Ir Sr
2 1 1
Direct
0.000 0.108 0.108
0.000 0.392 0.392
0.500 0.250 0.250
0.500 0.750 0.750



Record 10
Rb2NaBrF6 | the Alexandria database | PBE-GGA | optimized geometry; crystal system = orthorhombic; E_form (uncorrected) = -2.039 eV/atom
1.0
6.824 0.000 0.000
0.000 6.742 0.000
0.000 0.000 8.328
Na F Rb Br
2 12 4 2
Direct
0.000 0.687 0.500
0.500 0.313 0.000
0.717 0.607 0.000
0.500 0.388 0.269
0.000 0.612 0.231
0.765 0.914 0.500
0.783 0.393 0.500
0.217 0.393 0.500
0.265 0.086 0.000
0.235 0.914 0.500
0.735 0.086 0.000
0.283 0.607 0.000
0.000 0.612 0.769
0.500 0.388 0.731
0.500 0.868 0.242
0.000 0.132 0.258
0.500 0.868 0.758
0.000 0.132 0.742
0.000 0.611 0.000
0.500 0.389 0.500



Record 11
LiHgH | the Alexandria database | PBE-GGA | optimized geometry; uncorrected energy = -2.0105 eV/atom; crystal system = hexagonal
1.0
-3.189 -0.040 0.513
1.981 -1.549 2.027
0.428 4.479 3.005
Li H Hg
1 1 1
Direct
0.667 0.333 0.500
0.333 0.667 0.500
0.000 0.000 0.000



Record 12
Tb4Ho3In | the Alexandria database | PBE-GGA | optimized geometry; crystal system = orthorhombic; energy of formation = -10.1 kJ/mol of atoms
1.0
-4.942 -2.230 2.915
-1.709 -3.699 -5.726
6.082 -8.595 3.736
Tb Ho In
8 6 2
Direct
0.668 0.128 0.500
0.491 0.872 0.264
0.491 0.872 0.736
0.633 0.132 0.000
0.133 0.868 0.500
0.991 0.128 0.764
0.991 0.128 0.236
0.168 0.872 0.000
0.971 0.616 0.244
0.640 0.629 0.000
0.971 0.616 0.756
0.471 0.384 0.744
0.140 0.371 0.500
0.471 0.384 0.256
0.149 0.382 0.000
0.649 0.618 0.500